A plane-wave DFT calculation with SCAN was carried out for a PBEsol-optimized structure of RbIn3Mo.

abc: 5.8556 5.8556 5.8556
angles: 90.00 90.00 90.00
Last column: nearest neighbours and their distance in Å.
Atoms (fractional coordinates):
Mo: 0.5000 0.5000 0.5000  12 In 4.14
Rb: 0.0000 0.0000 0.0000  6 In 2.93
In: 0.0000 0.5000 0.0000  2 Rb 2.93
In: 0.0000 0.0000 0.5000  2 Rb 2.93
In: 0.5000 0.0000 0.0000  2 Rb 2.93

Computed properties:
Energy of formation, eV per atom: 1.83
Energy above the most stable polymorph in this dataset, eV per atom: 1.720
Calculated total energy, eV per formula unit: -146.6
Symmetry: Pm-3m
Size of the total moment, μB per cell: 3.8

***

A plane-wave DFT calculation with SCAN was carried out for a PBEsol-optimized structure of Zr2Be2Au.

abc: 3.8255 6.3111 6.3111
angles: 90.00 90.00 90.00
Last column: nearest neighbours and their distance in Å.
Atoms (fractional coordinates):
Be: 0.0000 0.3754 0.8754  1 Be 2.22
Be: 0.0000 0.8754 0.6246  1 Be 2.22
Be: 0.0000 0.6246 0.1246  1 Be 2.22
Be: 0.0000 0.1246 0.3754  1 Be 2.22
Au: 0.0000 0.0000 0.0000  4 Be 2.50
Au: 0.0000 0.5000 0.5000  4 Be 2.50
Zr: 0.5000 0.1713 0.6713  6 Be 2.64-2.69
Zr: 0.5000 0.6713 0.8287  6 Be 2.64-2.69
Zr: 0.5000 0.8287 0.3287  6 Be 2.64-2.69
Zr: 0.5000 0.3287 0.1713  6 Be 2.64-2.69

Computed properties:
Energy of formation, eV per atom: -0.56
Calculated total energy, eV per formula unit: -142.1
Symmetry: P4/mbm
Size of the total moment, μB per cell: 0.0

***

A plane-wave DFT calculation with SCAN was carried out for a PBEsol-optimized structure of BaMg3Br.

abc: 5.6858 5.6858 5.6858
angles: 90.00 90.00 90.00
Last column: nearest neighbours and their distance in Å.
Atoms (fractional coordinates):
Mg: 0.0000 0.5000 0.0000  2 Br 2.84
Mg: 0.0000 0.0000 0.5000  2 Br 2.84
Mg: 0.5000 0.0000 0.0000  2 Br 2.84
Ba: 0.5000 0.5000 0.5000  12 Mg 4.02
Br: 0.0000 0.0000 0.0000  6 Mg 2.84

Computed properties:
Energy relative to the elements, uncorrected, eV/f.u.: 0.42
Calculated total energy, eV per formula unit: -73.5
Symmetry: Pm-3m
Size of the total moment, μB per cell: 0.1

***

A plane-wave DFT calculation with SCAN was carried out for a PBEsol-optimized structure of Li3Mn4NiO8.

abc: 5.8235 5.8235 5.8430
angles: 91.93 118.83 118.84
Last column: nearest neighbours and their distance in Å.
Atoms (fractional coordinates):
Li: 0.0000 0.0000 0.5000  4 O 1.99-2.11
Li: 0.5000 0.0000 0.5000  6 O 2.05-2.11
Li: 0.5000 0.5000 0.5000  4 O 1.99-2.11
Mn: 0.0000 0.5000 0.5000  6 O 2.03-2.10
Mn: 0.0000 0.0000 0.0000  6 O 2.03-2.10
Mn: 0.5000 0.0000 0.0000  4 O 1.93-1.95
Mn: 0.0000 0.5000 0.0000  4 O 1.93-1.95
Ni: 0.5000 0.5000 0.0000  6 O 2.04-2.09
O: 0.5408 0.2506 0.7914  2 Mn 1.93, 1 Ni 2.04, 1 Li 2.05
O: 0.0026 0.2614 0.7606  3 Mn 1.95-2.10, 1 Ni 2.09, 2 Li 2.11
O: 0.4992 0.7580 0.7606  3 Mn 1.95-2.10, 1 Ni 2.09, 2 Li 2.11
O: 0.9748 0.7501 0.7250  2 Li 1.99, 4 Mn 2.03-2.21
O: 0.0252 0.2499 0.2750  2 Li 1.99, 4 Mn 2.03-2.21
O: 0.5008 0.2420 0.2394  3 Mn 1.95-2.10, 1 Ni 2.09, 2 Li 2.11
O: 0.9974 0.7386 0.2394  3 Mn 1.95-2.10, 1 Ni 2.09, 2 Li 2.11
O: 0.4592 0.7494 0.2086  2 Mn 1.93, 1 Ni 2.04, 1 Li 2.05

Computed properties:
Energy relative to the elements, uncorrected, eV/f.u.: -33.30
Calculated total energy, eV per formula unit: -179.5
Symmetry: C2/m
Size of the total moment, μB per cell: 19.0

***

A plane-wave DFT calculation with SCAN was carried out for a PBEsol-optimized structure of Si2AgPt.

abc: 2.8935 2.8935 7.3395
angles: 90.00 90.00 90.00
Last column: nearest neighbours and their distance in Å.
Atoms (fractional coordinates):
Ag: 0.5000 0.5000 0.0000  8 Si 2.87, 4 Ag 2.89
Pt: 0.5000 0.5000 0.5000  8 Si 2.63, 4 Pt 2.89
Si: 0.0000 0.0000 0.7253  4 Pt 2.63, 4 Ag 2.87, 4 Si 2.89
Si: 0.0000 0.0000 0.2747  4 Pt 2.63, 4 Ag 2.87, 4 Si 2.89

Computed properties:
Energy relative to the elements, uncorrected, eV/f.u.: 0.34
Energy above the most stable polymorph in this dataset, eV per atom: 0.243
Calculated total energy, eV per formula unit: -121.3
Symmetry: P4/mmm
Size of the total moment, μB per cell: 0.0

***

A plane-wave DFT calculation with SCAN was carried out for a PBEsol-optimized structure of LiRh5.

abc: 2.6779 4.2600 7.0752
angles: 90.00 100.91 90.00
Last column: nearest neighbours and their distance in Å.
Atoms (fractional coordinates):
Li: 0.9991 0.0000 0.9982  10 Rh 2.60-2.67, 2 Li 2.68
Rh: 0.3352 0.0000 0.6705  10 Rh 2.63-2.71, 2 Li 2.64
Rh: 0.6654 0.0000 0.3307  10 Rh 2.64-2.71, 2 Li 2.67
Rh: 0.4468 0.5000 0.8935  8 Rh 2.60-2.68, 4 Li 2.62
Rh: 0.7800 0.5000 0.5600  12 Rh 2.63-2.75
Rh: 0.1069 0.5000 0.2138  10 Rh 2.60-2.75, 2 Li 2.60

Computed properties:
Energy of formation, eV per atom: -0.01
Energy above the most stable polymorph in this dataset, eV per atom: 0.028
Calculated total energy, eV per formula unit: -171.3
Symmetry: Amm2
Size of the total moment, μB per cell: 0.0

***

A plane-wave DFT calculation with SCAN was carried out for a PBEsol-optimized structure of Ca3AsH.

abc: 4.7172 4.7172 4.7172
angles: 90.00 90.00 90.00
Last column: nearest neighbours and their distance in Å.
Atoms (fractional coordinates):
H: 0.0000 0.0000 0.0000  6 Ca 2.36
As: 0.5000 0.5000 0.5000  12 Ca 3.34
Ca: 0.0000 0.5000 0.0000  2 H 2.36
Ca: 0.0000 0.0000 0.5000  2 H 2.36
Ca: 0.5000 0.0000 0.0000  2 H 2.36

Computed properties:
Calculated total energy, eV per formula unit: -55.0
Symmetry: Pm-3m
Size of the total moment, μB per cell: 1.1

***

A plane-wave DFT calculation with SCAN was carried out for a PBEsol-optimized structure of Zr2AlAu.

abc: 3.1845 4.1306 5.6923
angles: 90.00 90.00 90.00
Last column: nearest neighbours and their distance in Å.
Atoms (fractional coordinates):
Au: 0.5000 0.5000 0.5000  2 Al 2.85, 8 Zr 2.97, 2 Au 3.18
Al: 0.5000 0.5000 0.0000  2 Au 2.85, 8 Zr 2.97, 2 Al 3.18
Zr: 0.0000 0.0000 0.7500  4 Zr 2.85-3.18, 4 Au 2.97, 4 Al 2.97
Zr: 0.0000 0.0000 0.2500  4 Zr 2.85-3.18, 4 Au 2.97, 4 Al 2.97

Computed properties:
Energy of formation, eV per atom: -0.63
Calculated total energy, eV per formula unit: -140.8
Symmetry: Pmmm
Size of the total moment, μB per cell: 0.0

***

> The highest calculated total energy belongs to which entry?

Ca3AsH

***

What did the fifth record say?
A plane-wave DFT calculation with SCAN was carried out for a PBEsol-optimized structure of Si2AgPt.

abc: 2.8935 2.8935 7.3395
angles: 90.00 90.00 90.00
Last column: nearest neighbours and their distance in Å.
Atoms (fractional coordinates):
Ag: 0.5000 0.5000 0.0000  8 Si 2.87, 4 Ag 2.89
Pt: 0.5000 0.5000 0.5000  8 Si 2.63, 4 Pt 2.89
Si: 0.0000 0.0000 0.7253  4 Pt 2.63, 4 Ag 2.87, 4 Si 2.89
Si: 0.0000 0.0000 0.2747  4 Pt 2.63, 4 Ag 2.87, 4 Si 2.89

Computed properties:
Energy relative to the elements, uncorrected, eV/f.u.: 0.34
Energy above the most stable polymorph in this dataset, eV per atom: 0.243
Calculated total energy, eV per formula unit: -121.3
Symmetry: P4/mmm
Size of the total moment, μB per cell: 0.0

***

> Which of these has the highest calculated total energy?

Ca3AsH

***

> Which formula does entry 1 have?

RbIn3Mo